[1]
First-principles (PBE) data for TcRh3Br after structural relaxation, as listed in Alexandria via LeMat-Bulk.

Results
formation energy (no corrections): 29.3 kcal/mol of atoms
size of the total moment: 0.000 μB per cell
offset from the most stable computed form: 0 kJ/mol of formula units
Fermi-level density of states: 1.34 states/eV/atom
E_tot: -5.547 eV per atom

a b c (Å): 4.7184 4.7184 4.7184
angles (deg): 90.00 90.00 90.00
With the nearest neighbours (Å) after each atom.
Space group Pm-3m (No. 221)
One atom of each set of equivalent atoms:
Tc1 0.0000 0.0000 0.0000 (multiplicity 1)  6 Rh 2.36
Rh1 0.0000 0.0000 0.5000 (multiplicity 3)  2 Tc 2.36
Br1 0.5000 0.5000 0.5000 (multiplicity 1)  12 Rh 3.34


[2]
First-principles (PBE) data for TcRhBr4 after structural relaxation, as listed in Alexandria via LeMat-Bulk.

Results
formation energy (no corrections): 35.6 kcal/mol of atoms
size of the total moment: 22.324 μB per cell
Fermi-level density of states: 1.73 states/eV/atom
E_tot: -2.524 eV per atom

a b c (Å): 8.6198 8.6198 8.6198
angles (deg): 90.00 90.00 90.00
With the nearest neighbours (Å) after each atom.
Space group F-43m (No. 216)
One atom of each set of equivalent atoms:
Tc1 0.0000 0.0000 0.0000 (multiplicity 4)  12 Br 3.57, 4 Rh 3.73
Rh1 0.2500 0.2500 0.2500 (multiplicity 4)  12 Br 3.57, 4 Tc 3.73
Br1 0.1249 0.1249 0.6249 (multiplicity 16)  6 Br 3.05


[3]
First-principles (PBE) data for TcRhBr after structural relaxation, as listed in Alexandria via LeMat-Bulk.

Results
formation energy (no corrections): 11.2 kcal/mol of atoms
size of the total moment: 0.000 μB per cell
offset from the most stable computed form: 7 kJ/mol of formula units
Fermi-level density of states: 1.29 states/eV/atom
E_tot: -5.976 eV per atom

a b c (Å): 2.9620 2.9620 11.6613
angles (deg): 90.00 90.00 90.00
With the nearest neighbours (Å) after each atom.
Space group I4mm (No. 107)
One atom of each set of equivalent atoms:
Tc1 0.0000 0.0000 0.0000 (multiplicity 2)  4 Rh 2.62, 4 Br 2.78
Rh1 0.0000 0.0000 0.6355 (multiplicity 2)  4 Tc 2.62
Br1 0.0000 0.0000 0.3439 (multiplicity 2)  4 Tc 2.78, 4 Br 2.96


[4]
First-principles (PBE) data for TcRh3Br after structural relaxation, as listed in Alexandria via LeMat-Bulk.

Results
formation energy (no corrections): 32.1 kcal/mol of atoms
size of the total moment: 5.049 μB per cell
offset from the most stable computed form: 58 kJ/mol of formula units
Fermi-level density of states: 1.16 states/eV/atom
E_tot: -5.428 eV per atom

a b c (Å): 4.5825 4.5825 4.5825
angles (deg): 90.00 90.00 90.00
With the nearest neighbours (Å) after each atom.
Space group Pm-3m (No. 221)
One atom of each set of equivalent atoms:
Tc1 0.0000 0.0000 0.0000 (multiplicity 1)  12 Rh 3.24
Rh1 0.0000 0.5000 0.5000 (multiplicity 3)  2 Br 2.29
Br1 0.5000 0.5000 0.5000 (multiplicity 1)  6 Rh 2.29